KSr2Fe | PBE-GGA | relaxed

The structure in POSCAR format:
```
KSr2Fe
1.0
0.000 4.345 4.345
4.345 0.000 4.345
4.345 4.345 0.000
K Sr Fe
1 2 1
Cartesian
0.000 0.000 0.000
4.345 4.345 4.345
6.517 6.517 6.517
2.172 2.172 2.172
```

Total moment = 3.02 μB/cell
Energy of formation = 0.79 eV/atom
Calculated density = 2735 kg/m³